Entry from Alexandria via LeMat-Bulk: an optimized crystal structure of BaSrNiO4 (GGA+U).

* DOS(E_F): 4.4 states/eV/f.u.
* energy: -0.4050 Ry per atom

Cell and atoms, written as CIF:
```
data_BaSrNiO4
_symmetry_space_group_name_H-M 'I 4 m m'
_symmetry_Int_Tables_number 107
_symmetry_space_group_name_Hall 'I 4 -2'
_cell_length_a 3.981
_cell_length_b 3.981
_cell_length_c 12.801
_cell_angle_alpha 90.00
_cell_angle_beta 90.00
_cell_angle_gamma 90.00
loop_
_atom_site_label
_atom_site_type_symbol
_atom_site_fract_x
_atom_site_fract_y
_atom_site_fract_z
Ba1 Ba 0.000 0.000 0.000
Sr1 Sr 0.000 0.000 0.720
Ni1 Ni 0.000 0.000 0.357
O1 O 0.000 0.000 0.205
O2 O 0.000 0.000 0.512
O3 O 0.000 0.500 0.350
```